A plane-wave DFT calculation with GGA-PBE was carried out for a geometry-optimized Pa3MoN7 structure.

Structure (POSCAR):
```
Pa3MoN7
1.0
3.8033 -5.3348 0.0000
3.8033 5.3348 0.0000
0.0000 0.0000 7.4886
Pa Mo N
6 2 14
direct
0.0303 0.0303 0.0000 Pa
0.0362 0.4999 0.2585 Pa
0.4999 0.0362 0.7415 Pa
0.5001 0.9638 0.2415 Pa
0.9638 0.5001 0.7585 Pa
0.9697 0.9697 0.5000 Pa
0.4693 0.4693 0.5000 Mo
0.5307 0.5307 0.0000 Mo
0.1262 0.8738 0.7500 N
0.1393 0.8607 0.2500 N
0.1415 0.4001 0.9853 N
0.1800 0.4284 0.5433 N
0.4001 0.1415 0.0147 N
0.4284 0.1800 0.4567 N
0.4292 0.5708 0.2500 N
0.5708 0.4292 0.7500 N
0.5716 0.8200 0.9567 N
0.5999 0.8585 0.5147 N
0.8200 0.5716 0.0433 N
0.8585 0.5999 0.4853 N
0.8607 0.1393 0.7500 N
0.8738 0.1262 0.2500 N
```

## Properties
DFT total energy	-223.2	eV per cell
space-group type	C222_1, No. 20
calculated volume	303.9	Å³/cell
uncorrected formation energy	-1.27	eV per atom